# 1
Material: Sr2CoPb
Method: DFT, PBE
State: optimized geometry

Computed properties:
* crystal system: trigonal
* E_form: 0.9 eV/f.u.

Unit cell a=9.789 b=9.789 c=9.789 alpha=23.38 beta=23.38 gamma=23.38
Fractional coordinates of all 4 atoms:
Co (0.250, 0.250, 0.250)
Pb (0.750, 0.750, 0.750)
Sr (0.986, 0.986, 0.986)
Sr (0.514, 0.514, 0.514)



# 2
Material: Sr2CoPb
Method: DFT, PBE
State: optimized geometry

Computed properties:
* crystal system: monoclinic
* E_form: 0.3 eV/f.u.

Unit cell a=6.659 b=6.659 c=5.432 alpha=66.00 beta=66.00 gamma=33.44
Fractional coordinates of all 4 atoms:
Co (0.530, 0.530, 0.471)
Pb (0.192, 0.192, 0.308)
Sr (0.988, 0.988, 0.012)
Sr (0.790, 0.790, 0.710)



no.,N(E_F) (states/eV per atom)
1,0.5286
2,1.3782